Entry 1:
An optimized crystal structure of LaBeHg, computed with PBE.

Output
- energy of formation (meV/atom) = 213
- electronic total energy (eV/atom) = -2.7717
- energy above the lowest structure with this stoichiometry (meV/atom) = 328
- density of states at the Fermi level (states/eV/f.u.) = 5.6
- symmetry = F-43m, No. 216

abc: 4.8669 4.8669 4.8669
angles: 60.00 60.00 60.00
Last column: nearest neighbours and their distance in Å.
Fractional positions:
La: 0.0000 0.0000 0.0000  4 Hg 2.98
Be: 0.5000 0.5000 0.5000  4 Hg 2.98
Hg: 0.7500 0.7500 0.7500  4 La 2.98, 4 Be 2.98

Entry 2:
An optimized crystal structure of Rb2RePtI, computed with PBE.

Output
- raw formation energy (kJ/mol of formula units) = 209
- electronic total energy (eV/atom) = -3.9617
- density of states at the Fermi level (states/eV/f.u.) = 2.0
- symmetry = P4/mmm, No. 123

abc: 6.6420 6.6420 4.8431
angles: 90.00 90.00 90.00
Last column: nearest neighbours and their distance in Å.
Fractional positions:
Rb: 0.0000 0.5000 0.0000  2 Pt 3.32
Rb: 0.5000 0.0000 0.0000  2 Pt 3.32
Re: 0.0000 0.0000 0.5000  2 Pt 2.42
Pt: 0.0000 0.0000 0.0000  2 Re 2.42
I: 0.5000 0.5000 0.5000  8 Rb 4.11

Entry 3:
An optimized crystal structure of SrPtBr2, computed with PBE.

Output
- raw formation energy (kJ/mol of formula units) = -351
- electronic total energy (eV/atom) = -3.6776
- energy above the lowest structure with this stoichiometry (meV/atom) = 233
- density of states at the Fermi level (states/eV/f.u.) = 0.6
- symmetry = Imm2, No. 44

abc: 8.1448 8.1448 8.1448
angles: 152.69 151.22 40.09
Last column: nearest neighbours and their distance in Å.
Fractional positions:
Sr: 0.0000 0.0000 0.0000  2 Pt 3.05, 6 Br 3.13-3.16
Pt: 0.8450 0.3450 0.5000  4 Br 2.79, 2 Sr 3.05
Br: 0.3413 0.8413 0.5000  4 Pt 2.79
Br: 0.5930 0.5930 0.0000  4 Sr 3.13

Entry 4:
An optimized crystal structure of YPaGa4, computed with PBE.

Output
- energy of formation (meV/atom) = -358
- electronic total energy (eV/atom) = -5.0360
- energy above the lowest structure with this stoichiometry (meV/atom) = 130
- density of states at the Fermi level (states/eV/f.u.) = 4.7
- symmetry = F-43m, No. 216

abc: 5.5265 5.5265 5.5265
angles: 60.00 60.00 60.00
Last column: nearest neighbours and their distance in Å.
Fractional positions:
Y: 0.0000 0.0000 0.0000  12 Ga 3.24, 4 Pa 3.38
Pa: 0.2500 0.2500 0.2500  12 Ga 3.24, 4 Y 3.38
Ga: 0.1266 0.6245 0.6245  6 Ga 2.75-2.78
Ga: 0.6245 0.1266 0.6245  6 Ga 2.75-2.78
Ga: 0.6245 0.6245 0.1266  6 Ga 2.75-2.78
Ga: 0.6245 0.6245 0.6245  6 Ga 2.75-2.78

Entry 5:
An optimized crystal structure of RbSr2PuO6, computed with PBE.

Output
- raw formation energy (kJ/mol of formula units) = -2492
- electronic total energy (eV/atom) = -7.4239
- symmetry = P2_1/c, No. 14

abc: 6.0511 6.5187 10.9107
angles: 90.00 123.18 90.00
Last column: nearest neighbours and their distance in Å.
Fractional positions:
Rb: 0.0000 0.0000 0.0000  2 O 2.63
Rb: 0.0000 0.5000 0.5000  2 O 2.63
Sr: 0.2144 0.0155 0.7185  6 O 2.50-2.61
Sr: 0.2144 0.4845 0.2185  6 O 2.50-2.61
Sr: 0.7856 0.5155 0.7815  6 O 2.50-2.61
Sr: 0.7856 0.9845 0.2815  6 O 2.50-2.61
Pu: 0.5000 0.0000 0.5000  6 O 1.99-2.05
Pu: 0.5000 0.5000 0.0000  6 O 1.99-2.05
O: 0.2032 0.1485 0.4902  1 Pu 1.99
O: 0.2032 0.3515 0.9902  1 Pu 1.99
O: 0.2229 0.7091 0.8612  1 Pu 2.05
O: 0.2229 0.7909 0.3612  1 Pu 2.05
O: 0.4569 0.1556 0.3264  1 Pu 2.04
O: 0.4569 0.3444 0.8264  1 Pu 2.04
O: 0.5431 0.6556 0.1736  1 Pu 2.04
O: 0.5431 0.8444 0.6736  1 Pu 2.04
O: 0.7771 0.2091 0.6388  1 Pu 2.05
O: 0.7771 0.2909 0.1388  1 Pu 2.05
O: 0.7968 0.6485 0.0098  1 Pu 1.99
O: 0.7968 0.8515 0.5098  1 Pu 1.99

Entry 6:
An optimized crystal structure of Li2CaPbF8, computed with PBE.

Output
- raw formation energy (kJ/mol of formula units) = -3165
- electronic total energy (eV/atom) = -4.7758
- density of states at the Fermi level (states/eV/f.u.) = 0.0
- symmetry = P-1, No. 2

abc: 3.8527 5.2865 7.5696
angles: 82.96 88.05 82.13
Last column: nearest neighbours and their distance in Å.
Fractional positions:
Li: 0.0531 0.0425 0.3004  5 F 2.00-2.20
Li: 0.9469 0.9575 0.6996  5 F 2.00-2.20
Ca: 0.5000 0.5000 0.5000  8 F 2.33-2.42
Pb: 0.5000 0.5000 0.0000  8 F 2.14-2.39
F: 0.0560 0.2387 0.5136  2 Li 2.00-2.02
F: 0.0735 0.2627 0.0348  2 Pb 2.19-2.39, 1 Li 2.20
F: 0.4031 0.7406 0.2096  1 Li 2.11, 1 Pb 2.14
F: 0.4278 0.7533 0.7473  1 Li 2.03, 1 Pb 2.20
F: 0.5722 0.2467 0.2527  1 Li 2.03, 1 Pb 2.20
F: 0.5969 0.2594 0.7904  1 Li 2.11, 1 Pb 2.14
F: 0.9265 0.7373 0.9652  2 Pb 2.19-2.39, 1 Li 2.20
F: 0.9440 0.7613 0.4864  2 Li 2.00-2.02

Entry 7:
An optimized crystal structure of BaTlSbI, computed with PBE.

Output
- raw formation energy (kJ/mol of formula units) = -267
- electronic total energy (eV/atom) = -3.1831
- density of states at the Fermi level (states/eV/f.u.) = 3.3
- symmetry = F-43m, No. 216

abc: 5.9392 5.9392 5.9392
angles: 60.00 60.00 60.00
Last column: nearest neighbours and their distance in Å.
Fractional positions:
Ba: 0.0000 0.0000 0.0000  4 I 3.64, 4 Sb 3.64
Tl: 0.5000 0.5000 0.5000  4 I 3.64, 4 Sb 3.64
Sb: 0.2500 0.2500 0.2500  4 Ba 3.64, 4 Tl 3.64
I: 0.7500 0.7500 0.7500  4 Tl 3.64, 4 Ba 3.64

Entry 8:
An optimized crystal structure of Li2LaHgN, computed with PBE.

Output
- raw formation energy (kJ/mol of formula units) = -213
- electronic total energy (eV/atom) = -3.9172
- density of states at the Fermi level (states/eV/f.u.) = 2.9
- symmetry = P4/mmm, No. 123

abc: 4.5829 4.5829 4.8305
angles: 90.00 90.00 90.00
Last column: nearest neighbours and their distance in Å.
Fractional positions:
Li: 0.0000 0.5000 0.0000  2 N 2.29
Li: 0.5000 0.0000 0.0000  2 N 2.29
La: 0.0000 0.0000 0.5000  2 N 2.42
Hg: 0.5000 0.5000 0.5000  4 La 3.24, 8 Li 3.33
N: 0.0000 0.0000 0.0000  4 Li 2.29, 2 La 2.42